Entry 1:
{"formula": "Rb4Np3Te8Pt", "functional": "PBE-GGA", "state": "relaxed", "lattice": [[8.0776, -4.4166, 0.0000], [8.0776, 4.4166, 0.0000], [-5.1410, 0.0000, 8.5394]], "species": ["Rb", "Rb", "Rb", "Rb", "Np", "Np", "Np", "Te", "Te", "Te", "Te", "Te", "Te", "Te", "Te", "Pt"], "fractional_positions": [[0.0000, 0.0000, 0.0000], [0.0000, 0.5000, 0.0000], [0.5000, 0.0000, 0.0000], [0.5000, 0.5000, 0.0000], [0.0000, 0.0000, 0.5000], [0.0000, 0.5000, 0.5000], [0.5000, 0.0000, 0.5000], [0.2289, 0.2289, 0.7012], [0.2410, 0.2410, 0.2822], [0.2610, 0.6982, 0.6732], [0.3018, 0.7390, 0.3268], [0.6982, 0.2610, 0.6732], [0.7390, 0.3018, 0.3268], [0.7590, 0.7590, 0.7178], [0.7711, 0.7711, 0.2988], [0.5000, 0.5000, 0.5000]], "formation_energy_uncorrected_mev_per_atom": -741, "n_ef_per_ev_cell": 23.04, "energy_ev_per_atom": -5.358}

***

Entry 2:
{"formula": "Rb3Np3Te8Pt", "functional": "PBE-GGA", "state": "relaxed", "lattice": [[4.4247, 2.5546, 8.7559], [-4.4247, 2.5546, 8.7559], [0.0000, -5.1092, 8.7559]], "species": ["Rb", "Rb", "Rb", "Np", "Np", "Np", "Te", "Te", "Te", "Te", "Te", "Te", "Te", "Te", "Pt"], "fractional_positions": [[0.0000, 0.5000, 0.5000], [0.5000, 0.0000, 0.5000], [0.5000, 0.5000, 0.0000], [0.0000, 0.0000, 0.5000], [0.0000, 0.5000, 0.0000], [0.5000, 0.0000, 0.0000], [0.2343, 0.2343, 0.2343], [0.2582, 0.7120, 0.7120], [0.2880, 0.2880, 0.7418], [0.2880, 0.7418, 0.2880], [0.7120, 0.2582, 0.7120], [0.7120, 0.7120, 0.2582], [0.7418, 0.2880, 0.2880], [0.7657, 0.7657, 0.7657], [0.5000, 0.5000, 0.5000]], "formation_energy_uncorrected_mev_per_atom": -700, "n_ef_per_ev_cell": 27.59, "energy_ev_per_atom": -5.560}

***

Entry 3:
{"formula": "NpRe2Pt", "functional": "PBE-GGA", "state": "relaxed", "lattice": [[4.1457, 0.0000, 0.0000], [0.0000, 4.1457, 0.0000], [0.0000, 0.0000, 3.8502]], "species": ["Np", "Re", "Re", "Pt"], "fractional_positions": [[0.0000, 0.0000, 0.0000], [0.0000, 0.5000, 0.5000], [0.5000, 0.0000, 0.5000], [0.5000, 0.5000, 0.0000]], "n_ef_per_ev_cell": 3.61, "energy_ev_per_atom": -11.000, "ef_ev_per_atom": -0.031}

***

Entry 4:
{"formula": "Np4PtRh12", "functional": "PBE-GGA", "state": "relaxed", "lattice": [[-4.1730, 4.1730, 4.1730], [4.1730, -4.1730, 4.1730], [4.1730, 4.1730, -4.1730]], "species": ["Np", "Np", "Np", "Np", "Pt", "Rh", "Rh", "Rh", "Rh", "Rh", "Rh", "Rh", "Rh", "Rh", "Rh", "Rh", "Rh"], "fractional_positions": [[0.0000, 0.0000, 0.5000], [0.0000, 0.5000, 0.0000], [0.5000, 0.0000, 0.0000], [0.5000, 0.5000, 0.5000], [0.0000, 0.0000, 0.0000], [0.0000, 0.3029, 0.3029], [0.0000, 0.6971, 0.6971], [0.2500, 0.5000, 0.7500], [0.2500, 0.7500, 0.5000], [0.3029, 0.0000, 0.3029], [0.3029, 0.3029, 0.0000], [0.5000, 0.2500, 0.7500], [0.5000, 0.7500, 0.2500], [0.6971, 0.0000, 0.6971], [0.6971, 0.6971, 0.0000], [0.7500, 0.2500, 0.5000], [0.7500, 0.5000, 0.2500]], "n_ef_per_ev_cell": 46.19, "energy_ev_per_atom": -8.828, "ef_ev_per_atom": -0.239}

***

Entry 5:
{"formula": "NpPt3Rh", "functional": "PBE-GGA", "state": "relaxed", "lattice": [[4.3083, 0.0000, 0.0000], [0.0000, 6.9676, 0.0000], [0.0000, 0.0000, 5.9824]], "species": ["Np", "Np", "Pt", "Pt", "Pt", "Pt", "Pt", "Pt", "Rh", "Rh"], "fractional_positions": [[0.2500, 0.2500, 0.2325], [0.7500, 0.7500, 0.7675], [0.2500, 0.0600, 0.7483], [0.2500, 0.4400, 0.7483], [0.2500, 0.7500, 0.4681], [0.7500, 0.2500, 0.5319], [0.7500, 0.5600, 0.2517], [0.7500, 0.9400, 0.2517], [0.2500, 0.7500, 0.0240], [0.7500, 0.2500, 0.9760]], "n_ef_per_ev_cell": 21.12, "energy_ev_per_atom": -7.992, "ef_ev_per_atom": -0.309}

***

Entry 6:
{"formula": "NpPt3Rh3", "functional": "PBE-GGA", "state": "relaxed", "lattice": [[7.7920, 0.0000, 0.0000], [0.0000, 7.7920, 0.0000], [0.0000, 0.0000, 7.7920]], "species": ["Np", "Np", "Np", "Np", "Pt", "Pt", "Pt", "Pt", "Pt", "Pt", "Pt", "Pt", "Pt", "Pt", "Pt", "Pt", "Rh", "Rh", "Rh", "Rh", "Rh", "Rh", "Rh", "Rh", "Rh", "Rh", "Rh", "Rh"], "fractional_positions": [[0.1027, 0.3973, 0.6027], [0.3973, 0.6027, 0.1027], [0.6027, 0.1027, 0.3973], [0.8973, 0.8973, 0.8973], [0.0516, 0.5516, 0.9484], [0.1642, 0.1642, 0.1642], [0.1643, 0.8357, 0.3357], [0.3357, 0.1643, 0.8357], [0.3358, 0.8358, 0.6642], [0.4484, 0.4484, 0.4484], [0.5516, 0.9484, 0.0516], [0.6642, 0.3358, 0.8358], [0.6643, 0.6643, 0.6643], [0.8357, 0.3357, 0.1643], [0.8358, 0.6642, 0.3358], [0.9484, 0.0516, 0.5516], [0.0173, 0.7124, 0.6315], [0.1315, 0.4827, 0.2876], [0.2124, 0.8685, 0.9827], [0.2876, 0.1315, 0.4827], [0.3685, 0.5173, 0.7876], [0.4827, 0.2876, 0.1315], [0.5173, 0.7876, 0.3685], [0.6315, 0.0173, 0.7124], [0.7124, 0.6315, 0.0173], [0.7876, 0.3685, 0.5173], [0.8685, 0.9827, 0.2124], [0.9827, 0.2124, 0.8685]], "n_ef_per_ev_cell": 44.55, "energy_ev_per_atom": -7.690, "ef_ev_per_atom": -0.102}

***

Entry 7:
{"formula": "Np2PtRh", "functional": "PBE-GGA", "state": "relaxed", "lattice": [[4.8393, 0.0000, 0.0000], [0.0000, 4.8393, 0.0000], [0.0000, 0.0000, 3.5081]], "species": ["Np", "Np", "Pt", "Rh"], "fractional_positions": [[0.0000, 0.5000, 0.0000], [0.5000, 0.0000, 0.0000], [0.0000, 0.0000, 0.5000], [0.5000, 0.5000, 0.5000]], "n_ef_per_ev_cell": 11.42, "energy_ev_per_atom": -10.118, "ef_ev_per_atom": -0.299}

***

Entry 8:
{"formula": "Np2PtRh", "functional": "PBE-GGA", "state": "relaxed", "lattice": [[3.7411, 0.0000, 0.0000], [0.0000, 3.7411, 0.0000], [0.0000, 0.0000, 5.7455]], "species": ["Np", "Np", "Pt", "Rh"], "fractional_positions": [[0.0000, 0.0000, 0.2441], [0.0000, 0.0000, 0.7559], [0.5000, 0.5000, 0.5000], [0.5000, 0.5000, 0.0000]], "n_ef_per_ev_cell": 11.23, "energy_ev_per_atom": -10.143, "ef_ev_per_atom": -0.324}